# 1
DFT (GGA-PBE) results for crystalline MnCrPt6 at its relaxed geometry.

Properties
DFT formation energy: -0.315 eV/atom

abc: 3.929 3.929 7.831
angles: 90.00 90.00 90.00
Sites, in units of the cell vectors:
Mn1 0.000 0.000 0.000
Pt1 0.500 0.000 0.252
Pt2 0.000 0.500 0.748
Pt3 0.500 0.000 0.748
Cr1 0.000 0.000 0.500
Pt4 0.000 0.500 0.252
Pt5 0.500 0.500 0.000
Pt6 0.500 0.500 0.500



# 2
DFT (GGA-PBE) results for crystalline Pu2ZrTiN4 at its relaxed geometry.

Properties
ΔE_f (raw): -1.45 eV/atom

abc: 3.299 5.681 5.763
angles: 109.21 90.00 90.00
Sites, in units of the cell vectors:
Pu1 0.500 0.000 0.500
N1 0.000 0.754 0.227
N2 0.000 0.246 0.773
Ti1 0.000 0.000 0.000
Zr1 0.500 0.500 0.000
N3 0.500 0.766 0.777
N4 0.500 0.234 0.223
Pu2 0.000 0.500 0.500



# 3
DFT (GGA-PBE) results for crystalline K3V5S12 at its relaxed geometry.

Properties
ΔE_f (raw): -0.83 eV/atom

abc: 13.390 13.390 13.390
angles: 109.47 109.47 109.47
Sites, in units of the cell vectors:
V1 0.875 0.625 0.750
V2 0.625 0.875 0.250
S1 0.689 0.102 0.002
V3 0.875 0.250 0.625
S2 0.498 0.811 0.898
K1 0.625 0.375 0.750
S3 0.400 0.398 0.587
V4 0.750 0.625 0.375
S4 0.187 0.100 0.998
S5 0.087 0.900 0.398
K2 0.125 0.250 0.875
S6 0.413 0.102 0.600
K3 0.875 0.125 0.250
V5 0.000 0.500 0.000
V6 0.625 0.750 0.875
S7 0.400 0.002 0.313
S8 0.913 0.813 0.811
S9 0.687 0.498 0.600
S10 0.900 0.087 0.898
S11 0.687 0.189 0.587
K4 0.250 0.125 0.375
S12 0.087 0.187 0.189
V7 0.500 0.000 0.000
S13 0.002 0.400 0.813
S14 0.002 0.602 0.689
V8 0.500 0.000 0.500
S15 0.811 0.313 0.913
K5 0.625 0.250 0.375
K6 0.125 0.875 0.750
V9 0.000 0.000 0.000
S16 0.102 0.413 0.100
S17 0.998 0.398 0.311
S18 0.313 0.811 0.413
S19 0.913 0.100 0.602
S20 0.313 0.502 0.400
V10 0.500 0.500 0.500
S21 0.689 0.587 0.187
K7 0.375 0.750 0.625
K8 0.250 0.625 0.875
S22 0.311 0.413 0.813
S23 0.587 0.689 0.687
S24 0.398 0.400 0.087
S25 0.187 0.087 0.689
K9 0.750 0.375 0.125
V11 0.125 0.375 0.250
S26 0.502 0.189 0.102
V12 0.000 0.000 0.500
S27 0.398 0.998 0.811
S28 0.811 0.498 0.398
S29 0.311 0.898 0.998
V13 0.750 0.125 0.875
V14 0.375 0.125 0.750
S30 0.998 0.600 0.187
S31 0.898 0.311 0.498
S32 0.100 0.187 0.498
S33 0.813 0.913 0.311
S34 0.189 0.687 0.087
S35 0.898 0.587 0.900
S36 0.102 0.689 0.502
V15 0.125 0.750 0.375
S37 0.600 0.602 0.413
S38 0.100 0.913 0.102
S39 0.502 0.313 0.900
V16 0.250 0.875 0.125
K10 0.750 0.875 0.625
V17 0.375 0.250 0.125
S40 0.587 0.898 0.400
V18 0.250 0.375 0.625
V19 0.500 0.500 0.000
S41 0.600 0.998 0.687
S42 0.602 0.002 0.189
K11 0.875 0.750 0.125
S43 0.602 0.600 0.913
S44 0.498 0.687 0.100
S45 0.813 0.900 0.002
V20 0.000 0.500 0.500
S46 0.900 0.813 0.502
S47 0.189 0.502 0.602
K12 0.375 0.625 0.250
S48 0.413 0.311 0.313



# 4
DFT (GGA-PBE) results for crystalline Zr2HSe at its relaxed geometry.

abc: 3.679 3.720 9.802
angles: 90.00 90.00 90.00
Sites, in units of the cell vectors:
Zr1 0.201 0.045 0.396
Se1 0.201 0.043 0.728
Se2 0.701 0.543 0.488
H1 0.201 0.802 0.208
Zr2 0.701 0.545 0.820
Zr3 0.701 0.544 0.196
H2 0.701 0.302 0.008
Zr4 0.201 0.044 0.020



# 5
DFT (GGA-PBE) results for crystalline MgMnAl4 at its relaxed geometry.

Properties
DFT formation energy: 0.110 eV/atom

abc: 5.262 5.262 5.262
angles: 60.00 60.00 60.00
Sites, in units of the cell vectors:
Al1 0.375 0.375 0.875
Al2 0.875 0.375 0.375
Mn1 0.000 0.000 0.000
Mg1 0.750 0.750 0.750
Al3 0.375 0.375 0.375
Al4 0.375 0.875 0.375



# 6
DFT (GGA-PBE) results for crystalline PrDyTm2As4 at its relaxed geometry.

Properties
DFT formation energy: -1.498 eV/atom

abc: 4.144 7.167 7.172
angles: 70.52 90.00 90.00
Sites, in units of the cell vectors:
As1 0.000 0.239 0.259
As2 0.000 0.761 0.741
As3 0.500 0.757 0.253
Tm1 0.000 0.000 0.000
Pr1 0.500 0.500 0.000
Dy1 0.000 0.500 0.500
Tm2 0.500 0.000 0.500
As4 0.500 0.243 0.747



# 7
DFT (GGA-PBE) results for crystalline La5AgRh at its relaxed geometry.

Properties
DFT formation energy: -0.234 eV/atom

abc: 6.262 6.262 12.130
angles: 76.78 76.78 74.13
Sites, in units of the cell vectors:
La1 0.434 0.061 0.365
La2 0.971 0.029 0.750
Rh1 0.000 0.000 0.500
La3 0.552 0.211 0.055
La4 0.939 0.566 0.135
La5 0.211 0.552 0.555
La6 0.566 0.939 0.635
La7 0.061 0.434 0.865
La8 0.029 0.971 0.250
La9 0.789 0.448 0.445
Ag1 0.436 0.564 0.250
Ag2 0.564 0.436 0.750
Rh2 0.000 0.000 0.000
La10 0.448 0.789 0.945



# 8
DFT (GGA-PBE) results for crystalline FeReSe at its relaxed geometry.

Properties
ΔE_f (raw): 0.39 eV/atom

abc: 5.256 5.256 5.256
angles: 147.38 147.38 46.81
Sites, in units of the cell vectors:
Fe1 0.000 0.000 0.000
Se1 0.664 0.664 0.000
Re1 0.336 0.336 0.000



# 9
DFT (GGA-PBE) results for crystalline TbCuPd6 at its relaxed geometry.

Properties
DFT formation energy: -0.427 eV/atom

abc: 4.040 4.040 7.975
angles: 90.00 90.00 90.00
Sites, in units of the cell vectors:
Pd1 0.500 0.000 0.734
Cu1 0.000 0.000 0.500
Pd2 0.500 0.000 0.266
Pd3 0.000 0.500 0.266
Pd4 0.500 0.500 0.500
Pd5 0.500 0.500 0.000
Tb1 0.000 0.000 0.000
Pd6 0.000 0.500 0.734



# 10
DFT (GGA-PBE) results for crystalline BeNbH at its relaxed geometry.

abc: 10.802 4.274 4.274
angles: 115.24 142.97 37.03
Sites, in units of the cell vectors:
Be1 0.770 0.482 0.518
H1 0.500 0.500 0.000
Nb1 0.500 0.500 0.500
H2 0.500 0.000 0.500
Nb2 0.000 0.500 0.500
Be2 0.230 0.518 0.482



# 11
DFT (GGA-PBE) results for crystalline Zr2PtClF at its relaxed geometry.

Properties
ΔE_f (raw): -0.25 eV/atom

abc: 4.486 4.738 4.486
angles: 90.00 90.00 90.00
Sites, in units of the cell vectors:
Zr1 0.000 0.000 0.500
Cl1 0.500 0.500 0.500
Zr2 0.500 0.000 0.000
Pt1 0.000 0.500 0.000
F1 0.000 0.000 0.000



# 12
DFT (GGA-PBE) results for crystalline Pm7Cd2Os2 at its relaxed geometry.

Properties
DFT formation energy: -0.097 eV/atom

abc: 6.944 7.327 6.944
angles: 90.00 106.96 90.00
Sites, in units of the cell vectors:
Pm1 0.500 0.250 0.000
Cd1 0.172 0.500 0.172
Pm2 0.500 0.760 0.500
Cd2 0.828 0.500 0.828
Pm3 0.500 0.750 0.000
Os1 0.708 0.000 0.292
Pm4 0.000 0.250 0.500
Pm5 0.500 0.240 0.500
Pm6 0.000 0.750 0.500
Os2 0.292 0.000 0.708
Pm7 0.000 0.000 0.000



| no. | VASP energy (eV/atom) |
| --- | --- |
| 1 | -7.19 |
| 2 | -11.25 |
| 3 | -5.75 |
| 4 | -6.82 |
| 5 | -4.18 |
| 6 | -6.11 |
| 7 | -5.21 |
| 8 | -7.74 |
| 9 | -5.41 |
| 10 | -5.70 |
| 11 | -5.62 |
| 12 | -5.33 |